No. 1
Computed, not measured: a geometry-optimized NbZnFeSn structure at the PBE level of DFT.

Computed properties:
M_tot	0.86	μB/f.u.
polymorph energy (0 for the lowest one)	0.00	eV/f.u.
crystal system	cubic

Lattice parameters (Å, degrees): 6.3346 6.3346 6.3346 90.00 90.00 90.00
Closest atoms and distances in Å follow each position.
Space group F-43m (No. 216)
Inequivalent atoms, fractional coordinates:
Nb1 0.0000 0.0000 0.0000 (multiplicity 4)  4 Fe 2.74, 4 Zn 2.74
Zn1 0.2500 0.2500 0.2500 (multiplicity 4)  4 Nb 2.74, 4 Sn 2.74
Fe1 0.2500 0.2500 0.7500 (multiplicity 4)  4 Nb 2.74, 4 Sn 2.74
Sn1 0.0000 0.0000 0.5000 (multiplicity 4)  4 Fe 2.74, 4 Zn 2.74

No. 2
Computed, not measured: a geometry-optimized SrNbFe structure at the PBE level of DFT.

Computed properties:
M_tot	4.00	μB/f.u.
polymorph energy (0 for the lowest one)	3.50	eV/f.u.
crystal system	cubic

Lattice parameters (Å, degrees): 6.7925 6.7925 6.7925 90.00 90.00 90.00
Closest atoms and distances in Å follow each position.
Space group F-43m (No. 216)
Inequivalent atoms, fractional coordinates:
Sr1 0.0000 0.0000 0.0000 (multiplicity 4)  4 Nb 2.94, 4 Fe 2.94
Nb1 0.2500 0.2500 0.2500 (multiplicity 4)  4 Sr 2.94
Fe1 0.2500 0.2500 0.7500 (multiplicity 4)  4 Sr 2.94

No. 3
Computed, not measured: a geometry-optimized SrNbFe structure at the PBE level of DFT.

Computed properties:
M_tot	0.45	μB/f.u.
polymorph energy (0 for the lowest one)	0.00	eV/f.u.
crystal system	cubic

Lattice parameters (Å, degrees): 6.5072 6.5072 6.5072 90.00 90.00 90.00
Closest atoms and distances in Å follow each position.
Space group F-43m (No. 216)
Inequivalent atoms, fractional coordinates:
Sr1 0.0000 0.0000 0.0000 (multiplicity 4)  4 Fe 2.82
Nb1 0.0000 0.0000 0.5000 (multiplicity 4)  4 Fe 2.82
Fe1 0.2500 0.2500 0.7500 (multiplicity 4)  4 Nb 2.82, 4 Sr 2.82

No. 4
Computed, not measured: a geometry-optimized Sr2NbFe structure at the PBE level of DFT.

Computed properties:
M_tot	0.16	μB/f.u.
crystal system	cubic
raw total energy	-4.40	eV per atom

Lattice parameters (Å, degrees): 7.4335 7.4335 7.4335 90.00 90.00 90.00
Closest atoms and distances in Å follow each position.
Space group F-43m (No. 216)
Inequivalent atoms, fractional coordinates:
Sr1 0.0000 0.0000 0.0000 (multiplicity 4)  4 Fe 3.22, 4 Sr 3.22
Sr2 0.2500 0.2500 0.2500 (multiplicity 4)  4 Nb 3.22, 4 Sr 3.22
Nb1 0.0000 0.0000 0.5000 (multiplicity 4)  4 Fe 3.22, 4 Sr 3.22
Fe1 0.2500 0.2500 0.7500 (multiplicity 4)  4 Nb 3.22, 4 Sr 3.22

No. 5
Computed, not measured: a geometry-optimized Ta2NbFe structure at the PBE level of DFT.

Computed properties:
M_tot	0.23	μB/f.u.
formation energy from the elements	0.043	eV per atom
crystal system	cubic

Lattice parameters (Å, degrees): 6.3586 6.3586 6.3586 90.00 90.00 90.00
Closest atoms and distances in Å follow each position.
Space group F-43m (No. 216)
Inequivalent atoms, fractional coordinates:
Ta1 0.0000 0.0000 0.0000 (multiplicity 4)  4 Ta 2.75, 4 Fe 2.75
Ta2 0.2500 0.2500 0.2500 (multiplicity 4)  4 Nb 2.75, 4 Ta 2.75
Nb1 0.0000 0.0000 0.5000 (multiplicity 4)  4 Fe 2.75, 4 Ta 2.75
Fe1 0.2500 0.2500 0.7500 (multiplicity 4)  4 Ta 2.75, 4 Nb 2.75

No. 6
Computed, not measured: a geometry-optimized TaNbZnFe structure at the PBE level of DFT.

Computed properties:
M_tot	1.97	μB/f.u.
polymorph energy (0 for the lowest one)	0.00	eV/f.u.
formation energy from the elements	0.235	eV per atom
crystal system	cubic

Lattice parameters (Å, degrees): 6.2646 6.2646 6.2646 90.00 90.00 90.00
Closest atoms and distances in Å follow each position.
Space group F-43m (No. 216)
Inequivalent atoms, fractional coordinates:
Ta1 0.0000 0.0000 0.0000 (multiplicity 4)  4 Nb 2.71, 4 Fe 2.71
Nb1 0.2500 0.2500 0.2500 (multiplicity 4)  4 Ta 2.71, 4 Zn 2.71
Zn1 0.0000 0.0000 0.5000 (multiplicity 4)  4 Nb 2.71, 4 Fe 2.71
Fe1 0.2500 0.2500 0.7500 (multiplicity 4)  4 Ta 2.71, 4 Zn 2.71

No. 7
Computed, not measured: a geometry-optimized NbFeTc2 structure at the PBE level of DFT.

Computed properties:
M_tot	2.50	μB/f.u.
formation energy from the elements	0.029	eV per atom
crystal system	cubic

Lattice parameters (Å, degrees): 6.1844 6.1844 6.1844 90.00 90.00 90.00
Closest atoms and distances in Å follow each position.
Space group F-43m (No. 216)
Inequivalent atoms, fractional coordinates:
Nb1 0.0000 0.0000 0.0000 (multiplicity 4)  4 Fe 2.68, 4 Tc 2.68
Fe1 0.2500 0.2500 0.2500 (multiplicity 4)  4 Tc 2.68, 4 Nb 2.68
Tc1 0.0000 0.0000 0.5000 (multiplicity 4)  4 Tc 2.68, 4 Fe 2.68
Tc2 0.2500 0.2500 0.7500 (multiplicity 4)  4 Nb 2.68, 4 Tc 2.68

No. 8
Computed, not measured: a geometry-optimized Nb2FeTc structure at the PBE level of DFT.

Computed properties:
M_tot	2.05	μB/f.u.
formation energy from the elements	0.002	eV per atom
crystal system	cubic

Lattice parameters (Å, degrees): 6.2841 6.2841 6.2841 90.00 90.00 90.00
Closest atoms and distances in Å follow each position.
Space group F-43m (No. 216)
Inequivalent atoms, fractional coordinates:
Nb1 0.0000 0.0000 0.0000 (multiplicity 4)  4 Nb 2.72, 4 Fe 2.72
Nb2 0.2500 0.2500 0.2500 (multiplicity 4)  4 Nb 2.72, 4 Tc 2.72
Fe1 0.2500 0.2500 0.7500 (multiplicity 4)  4 Nb 2.72, 4 Tc 2.72
Tc1 0.0000 0.0000 0.5000 (multiplicity 4)  4 Nb 2.72, 4 Fe 2.72

No. 9
Computed, not measured: a geometry-optimized NbFeTc structure at the PBE level of DFT.

Computed properties:
M_tot	0.27	μB/f.u.
polymorph energy (0 for the lowest one)	0.00	eV/f.u.
formation energy from the elements	0.423	eV per atom
crystal system	cubic

Lattice parameters (Å, degrees): 5.7771 5.7771 5.7771 90.00 90.00 90.00
Closest atoms and distances in Å follow each position.
Space group F-43m (No. 216)
Inequivalent atoms, fractional coordinates:
Nb1 0.0000 0.0000 0.0000 (multiplicity 4)  4 Fe 2.50
Fe1 0.2500 0.2500 0.2500 (multiplicity 4)  4 Nb 2.50, 4 Tc 2.50
Tc1 0.0000 0.0000 0.5000 (multiplicity 4)  4 Fe 2.50

No. 10
Computed, not measured: a geometry-optimized NbTlFeTc structure at the PBE level of DFT.

Computed properties:
M_tot	0.96	μB/f.u.
polymorph energy (0 for the lowest one)	0.00	eV/f.u.
crystal system	cubic

Lattice parameters (Å, degrees): 6.3759 6.3759 6.3759 90.00 90.00 90.00
Closest atoms and distances in Å follow each position.
Space group F-43m (No. 216)
Inequivalent atoms, fractional coordinates:
Nb1 0.0000 0.0000 0.0000 (multiplicity 4)  4 Fe 2.76, 4 Tc 2.76
Tl1 0.0000 0.0000 0.5000 (multiplicity 4)  4 Fe 2.76, 4 Tc 2.76
Fe1 0.2500 0.2500 0.7500 (multiplicity 4)  4 Tl 2.76, 4 Nb 2.76
Tc1 0.2500 0.2500 0.2500 (multiplicity 4)  4 Tl 2.76, 4 Nb 2.76

No. 11
Computed, not measured: a geometry-optimized NbFeTe2 structure at the PBE level of DFT.

Computed properties:
M_tot	2.34	μB/f.u.
crystal system	cubic
raw total energy	-5.47	eV per atom

Lattice parameters (Å, degrees): 6.9252 6.9252 6.9252 90.00 90.00 90.00
Closest atoms and distances in Å follow each position.
Space group F-43m (No. 216)
Inequivalent atoms, fractional coordinates:
Nb1 0.0000 0.0000 0.0000 (multiplicity 4)  4 Fe 3.00, 4 Te 3.00
Fe1 0.2500 0.2500 0.2500 (multiplicity 4)  4 Nb 3.00, 4 Te 3.00
Te1 0.0000 0.0000 0.5000 (multiplicity 4)  4 Fe 3.00, 4 Te 3.00
Te2 0.2500 0.2500 0.7500 (multiplicity 4)  4 Nb 3.00, 4 Te 3.00

No. 12
Computed, not measured: a geometry-optimized NbFeTe2 structure at the PBE level of DFT.

Computed properties:
M_tot	2.29	μB/f.u.
crystal system	cubic
raw total energy	-5.47	eV per atom

Lattice parameters (Å, degrees): 6.9238 6.9238 6.9238 90.00 90.00 90.00
Closest atoms and distances in Å follow each position.
Space group F-43m (No. 216)
Inequivalent atoms, fractional coordinates:
Nb1 0.0000 0.0000 0.0000 (multiplicity 4)  4 Fe 3.00, 4 Te 3.00
Fe1 0.2500 0.2500 0.2500 (multiplicity 4)  4 Nb 3.00, 4 Te 3.00
Te1 0.0000 0.0000 0.5000 (multiplicity 4)  4 Te 3.00, 4 Fe 3.00
Te2 0.2500 0.2500 0.7500 (multiplicity 4)  4 Nb 3.00, 4 Te 3.00

No. 13
Computed, not measured: a geometry-optimized Nb4FeTe4 structure at the PBE level of DFT.

Computed properties:
M_tot	0.08	μB/f.u.
crystal system	orthorhombic
raw total energy	-7.24	eV per atom

Lattice parameters (Å, degrees): 10.6362 18.4524 4.8747 90.00 90.00 90.00
Closest atoms and distances in Å follow each position.
Space group Pbam (No. 55)
Inequivalent atoms, fractional coordinates:
Nb1 0.0660 0.1190 0.0000 (multiplicity 4)  2 Fe 2.61, 2 Te 2.84-2.85
Nb2 0.1004 0.8895 0.5000 (multiplicity 4)  2 Fe 2.60, 2 Te 2.84
Nb3 0.1938 0.0583 0.5000 (multiplicity 4)  2 Fe 2.63, 2 Te 2.85-2.86
Nb4 0.2086 0.9628 0.0000 (multiplicity 4)  2 Fe 2.62, 2 Te 2.84-2.85
Fe1 0.0000 0.0000 0.2498 (multiplicity 4)  2 Fe 2.44, 8 Nb 2.60-2.63
Te1 0.1107 0.2049 0.5000 (multiplicity 4)  4 Nb 2.84-2.95
Te2 0.1440 0.4349 0.5000 (multiplicity 4)  4 Nb 2.84-2.94
Te3 0.1678 0.5998 0.0000 (multiplicity 4)  4 Nb 2.85-2.95
Te4 0.1713 0.8105 0.0000 (multiplicity 4)  4 Nb 2.84-2.94